Record 1
First-principles (PBE) data for SrZr2Pb after structural relaxation, as listed in Alexandria.

Summary:
For the total magnetization, the calculation gives 0.00 μB per cell. The calculated formation energy is 0.220 eV per atom. Its volume is 26.6 Å³ per atom. The value obtained for the uncorrected energy is -5.401 eV/atom.

Cell: 4.6749 4.6749 9.7401 Å, 90.00 90.00 90.00°
Closest atoms and distances in Å follow each position.
Fractional positions:
Sr 0.0000 0.0000 0.0000  8 Zr 3.31-3.38, 4 Pb 3.38
Sr 0.5000 0.5000 0.5000  8 Zr 3.31-3.38, 4 Pb 3.38
Zr 0.0000 0.0000 0.5000  4 Sr 3.31, 4 Zr 3.38, 4 Pb 3.38
Zr 0.0000 0.5000 0.7500  4 Pb 3.31, 4 Zr 3.38, 4 Sr 3.38
Zr 0.5000 0.0000 0.2500  4 Pb 3.31, 4 Zr 3.38, 4 Sr 3.38
Zr 0.5000 0.5000 0.0000  4 Sr 3.31, 4 Zr 3.38, 4 Pb 3.38
Pb 0.0000 0.5000 0.2500  8 Zr 3.31-3.38, 4 Sr 3.38
Pb 0.5000 0.0000 0.7500  8 Zr 3.31-3.38, 4 Sr 3.38

---

Record 2
First-principles (PBE) data for Sr2ZrPb after structural relaxation, as listed in Alexandria.

Summary:
For the total magnetization, the calculation gives 0.00 μB per cell. The calculated formation energy is 0.204 eV per atom. Its volume is 34.1 Å³ per atom. The value obtained for the uncorrected energy is -3.701 eV/atom.

Cell: 3.6683 3.6683 35.0662 Å, 90.00 90.00 120.00°
Closest atoms and distances in Å follow each position.
Fractional positions:
Sr 0.0000 0.0000 0.2494  3 Pb 3.59, 3 Zr 3.62, 6 Sr 3.67
Sr 0.0000 0.0000 0.7506  3 Pb 3.59, 3 Zr 3.62, 6 Sr 3.67
Sr 0.3333 0.6667 0.4172  3 Pb 3.59, 3 Zr 3.62, 6 Sr 3.67
Sr 0.3333 0.6667 0.9161  3 Pb 3.59, 3 Zr 3.62, 6 Sr 3.67
Sr 0.6667 0.3333 0.0839  3 Pb 3.59, 3 Zr 3.62, 6 Sr 3.67
Sr 0.6667 0.3333 0.5828  3 Pb 3.59, 3 Zr 3.62, 6 Sr 3.67
Zr 0.0000 0.0000 0.0000  6 Sr 3.62, 6 Zr 3.67
Zr 0.3333 0.6667 0.6667  6 Sr 3.62, 6 Zr 3.67
Zr 0.6667 0.3333 0.3333  6 Sr 3.62, 6 Zr 3.67
Pb 0.0000 0.0000 0.5000  6 Sr 3.59, 6 Pb 3.67
Pb 0.3333 0.6667 0.1667  6 Sr 3.59, 6 Pb 3.67
Pb 0.6667 0.3333 0.8333  6 Sr 3.59, 6 Pb 3.67

---

Record 3
First-principles (PBE) data for SrZrPb after structural relaxation, as listed in Alexandria.

Summary:
For the total magnetization, the calculation gives 1.91 μB per cell. The calculated formation energy is -0.276 eV per atom. Its volume is 31.4 Å³ per atom. The value obtained for the uncorrected energy is -4.922 eV/atom.

Cell: 4.6174 4.6174 8.8421 Å, 90.00 90.00 90.00°
Closest atoms and distances in Å follow each position.
Fractional positions:
Sr 0.2500 0.2500 0.1552  5 Pb 3.40-3.68
Sr 0.7500 0.7500 0.8448  5 Pb 3.40-3.68
Zr 0.2500 0.7500 0.5000  4 Pb 3.13, 4 Zr 3.26
Zr 0.7500 0.2500 0.5000  4 Pb 3.13, 4 Zr 3.26
Pb 0.2500 0.2500 0.7391  4 Zr 3.13, 4 Sr 3.40
Pb 0.7500 0.7500 0.2609  4 Zr 3.13, 4 Sr 3.40

---

Record 4
First-principles (PBE) data for SrZr3Pb after structural relaxation, as listed in Alexandria.

Summary:
For the total magnetization, the calculation gives 0.00 μB per cell. The calculated formation energy is 0.871 eV per atom. Its volume is 34.1 Å³ per atom. The value obtained for the uncorrected energy is -5.336 eV/atom.

Cell: 5.5458 5.5458 5.5458 Å, 90.00 90.00 90.00°
Closest atoms and distances in Å follow each position.
Fractional positions:
Sr 0.0000 0.0000 0.0000  12 Zr 3.92
Zr 0.0000 0.5000 0.5000  2 Pb 2.77
Zr 0.5000 0.0000 0.5000  2 Pb 2.77
Zr 0.5000 0.5000 0.0000  2 Pb 2.77
Pb 0.5000 0.5000 0.5000  6 Zr 2.77

---

Record 5
First-principles (PBE) data for SrZrPb after structural relaxation, as listed in Alexandria.

Summary:
For the total magnetization, the calculation gives 0.01 μB per cell. The calculated formation energy is 0.122 eV per atom. Its volume is 30.4 Å³ per atom. The value obtained for the uncorrected energy is -4.524 eV/atom.

Cell: 5.3421 5.3421 3.6873 Å, 90.00 90.00 120.00°
Closest atoms and distances in Å follow each position.
Fractional positions:
Sr 0.0000 0.0000 0.0000  6 Zr 3.59, 6 Pb 3.59, 2 Sr 3.69
Zr 0.6667 0.3333 0.5000  3 Pb 3.08
Pb 0.3333 0.6667 0.5000  3 Zr 3.08

---

Record 6
First-principles (PBE) data for SrZr2Pb after structural relaxation, as listed in Alexandria.

Summary:
For the total magnetization, the calculation gives 0.96 μB per cell. The calculated formation energy is 0.265 eV per atom. Its volume is 27.3 Å³ per atom. The value obtained for the uncorrected energy is -5.357 eV/atom.

Cell: 3.4714 5.5946 5.6182 Å, 90.00 90.00 90.00°
Closest atoms and distances in Å follow each position.
Fractional positions:
Sr 0.0000 0.0000 0.0000  4 Pb 3.29, 4 Zr 3.30, 2 Sr 3.47
Zr 0.0000 0.5000 0.5000  6 Zr 3.29-3.47, 4 Pb 3.30
Zr 0.5000 0.0000 0.5000  6 Zr 3.29-3.47, 4 Sr 3.30
Pb 0.5000 0.5000 0.0000  4 Sr 3.29, 4 Zr 3.30, 2 Pb 3.47

---

Record 7
First-principles (PBE) data for SrZr2Pb after structural relaxation, as listed in Alexandria.

Summary:
For the total magnetization, the calculation gives 8.64 μB per cell. The calculated formation energy is 0.273 eV per atom. Its volume is 27.3 Å³ per atom. The value obtained for the uncorrected energy is -5.348 eV/atom.

Cell: 7.5836 7.5836 7.5836 Å, 90.00 90.00 90.00°
Closest atoms and distances in Å follow each position.
Fractional positions:
Sr 0.0000 0.0000 0.0000  4 Zr 3.28, 4 Pb 3.28
Sr 0.0000 0.5000 0.5000  4 Zr 3.28, 4 Pb 3.28
Sr 0.5000 0.0000 0.5000  4 Zr 3.28, 4 Pb 3.28
Sr 0.5000 0.5000 0.0000  4 Zr 3.28, 4 Pb 3.28
Zr 0.0000 0.0000 0.5000  4 Pb 3.28, 4 Zr 3.28
Zr 0.0000 0.5000 0.0000  4 Pb 3.28, 4 Zr 3.28
Zr 0.2500 0.2500 0.2500  4 Zr 3.28, 4 Sr 3.28
Zr 0.2500 0.7500 0.7500  4 Zr 3.28, 4 Sr 3.28
Zr 0.5000 0.0000 0.0000  4 Pb 3.28, 4 Zr 3.28
Zr 0.5000 0.5000 0.5000  4 Zr 3.28, 4 Pb 3.28
Zr 0.7500 0.2500 0.7500  4 Zr 3.28, 4 Sr 3.28
Zr 0.7500 0.7500 0.2500  4 Zr 3.28, 4 Sr 3.28
Pb 0.2500 0.2500 0.7500  4 Zr 3.28, 4 Sr 3.28
Pb 0.2500 0.7500 0.2500  4 Zr 3.28, 4 Sr 3.28
Pb 0.7500 0.2500 0.2500  4 Zr 3.28, 4 Sr 3.28
Pb 0.7500 0.7500 0.7500  4 Zr 3.28, 4 Sr 3.28

---

Record 8
First-principles (PBE) data for SrZr2Pb after structural relaxation, as listed in Alexandria.

Summary:
For the total magnetization, the calculation gives 0.00 μB per cell. The calculated formation energy is 0.142 eV per atom. Its volume is 27.9 Å³ per atom. The value obtained for the uncorrected energy is -5.480 eV/atom.

Cell: 12.0147 3.3237 5.7677 Å, 90.00 103.94 90.00°
Closest atoms and distances in Å follow each position.
Fractional positions:
Sr 0.0000 0.0000 0.0000  2 Sr 3.32, 4 Pb 3.33, 2 Zr 3.48
Sr 0.5000 0.5000 0.0000  2 Sr 3.32, 4 Pb 3.33, 2 Zr 3.48
Zr 0.2230 0.0000 0.7114  2 Pb 3.14, 4 Zr 3.15-3.32, 1 Sr 3.48
Zr 0.2770 0.5000 0.2886  2 Pb 3.14, 4 Zr 3.15-3.32, 1 Sr 3.48
Zr 0.7230 0.5000 0.7114  2 Pb 3.14, 4 Zr 3.15-3.32, 1 Sr 3.48
Zr 0.7770 0.0000 0.2886  2 Pb 3.14, 4 Zr 3.15-3.32, 1 Sr 3.48
Pb 0.0000 0.5000 0.5000  4 Zr 3.14, 2 Pb 3.32, 4 Sr 3.33
Pb 0.5000 0.0000 0.5000  4 Zr 3.14, 2 Pb 3.32, 4 Sr 3.33